# 1
The following is a DFT calculation (PBE) of a relaxed Cs3Pm3NdTe8 crystal.

a b c (Å): 9.1023 9.1044 10.5948
angles (deg): 115.48 90.00 119.98
Positions (direct):
Te  0.7668  0.0385  0.3056
Te  0.2332  0.4664  0.6944
Te  0.2332  0.9615  0.6944
Te  0.7668  0.5336  0.3056
Te  0.7283  0.9615  0.6944
Te  0.2684  0.5368  0.3054
Te  0.2717  0.0385  0.3056
Te  0.7316  0.4632  0.6946
Cs  0.5000  0.5000  0.0000
Cs  0.0000  0.5000  0.0000
Cs  0.0000  0.0000  0.0000
Pm  0.5000  0.5000  0.5000
Pm  0.0000  0.5000  0.5000
Pm  0.5000  0.0000  0.5000
Nd  0.0000  0.0000  0.5000

Summary:
* VASP energy: -4.4531 eV per atom
* SG: C2/m, No. 12
* N(E_F): 9.359 states/eV per cell
* uncorrected formation energy: -20.1 eV per formula unit
* V: 660 Å³ per cell

# 2
The following is a DFT calculation (PBE) of a relaxed Ba2SmUN4 crystal.

a b c (Å): 3.6607 6.2318 6.7702
angles (deg): 108.03 90.00 90.00
Positions (direct):
U  0.0000  0.0000  0.0000
N  0.0000  0.2314  0.8237
N  0.5000  0.7976  0.8222
N  0.0000  0.7686  0.1763
N  0.5000  0.2024  0.1778
Sm  0.5000  0.5000  0.0000
Ba  0.0000  0.5000  0.5000
Ba  0.5000  0.0000  0.5000

Summary:
* VASP energy: -7.7291 eV per atom
* SG: P2/m, No. 10
* N(E_F): 2.952 states/eV per cell
* uncorrected formation energy: -8.7 eV per formula unit
* V: 147 Å³ per cell

# 3
The following is a DFT calculation (PBE) of a relaxed CuNiAsPt crystal.

a b c (Å): 4.2712 4.2712 4.2712
angles (deg): 60.00 60.00 60.00
Positions (direct):
Cu  0.5000  0.5000  0.5000
Ni  0.2500  0.2500  0.2500
As  0.0000  0.0000  0.0000
Pt  0.7500  0.7500  0.7500

Summary:
* VASP energy: -5.2025 eV per atom
* SG: F-43m, No. 216
* DFT formation energy: -0.24 eV/f.u.
* N(E_F): 3.741 states/eV per cell
* V: 55 Å³ per cell

# 4
The following is a DFT calculation (PBE) of a relaxed Na2ScPa2Te6 crystal.

a b c (Å): 7.4254 7.4254 8.1463
angles (deg): 98.94 98.94 119.97
Each line ends with the local moment (μB).
Positions (direct):
Pa  0.6676  0.3324  0.5000  1.20
Pa  0.3324  0.6676  0.5000  1.20
Na  0.8303  0.1697  0.0000  0.00
Na  0.1697  0.8303  0.0000  0.00
Te  0.0823  0.4014  0.7321  -0.03
Te  0.4014  0.0823  0.7321  -0.03
Te  0.5986  0.9177  0.2679  -0.03
Te  0.2459  0.2459  0.2699  -0.03
Te  0.7541  0.7541  0.7301  -0.03
Te  0.9177  0.5986  0.2679  -0.03
Sc  0.0000  0.0000  0.5000  0.21

Summary:
* VASP energy: -5.2118 eV per atom
* SG: C2/m, No. 12
* N(E_F): 13.555 states/eV per cell
* uncorrected formation energy: -10.5 eV per formula unit
* V: 370 Å³ per cell

# 5
The following is a DFT calculation (PBE) of a relaxed NaCr2SeCl crystal.

a b c (Å): 4.1714 6.0385 4.1714
angles (deg): 90.00 90.00 90.00
Each line ends with the local moment (μB).
Positions (direct):
Na  0.5000  0.5000  0.5000  0.00
Cl  0.0000  0.0000  0.0000  0.01
Cr  0.0000  0.0000  0.5000  -0.29
Cr  0.5000  0.0000  0.0000  -0.18
Se  0.0000  0.5000  0.0000  -0.07

Summary:
* VASP energy: -4.2586 eV per atom
* SG: P4/mmm, No. 123
* N(E_F): 9.041 states/eV per cell
* uncorrected formation energy: 4.6 eV per formula unit
* V: 105 Å³ per cell

# 6
The following is a DFT calculation (PBE) of a relaxed LaTb12Ho6 crystal.

a b c (Å): 9.3320 9.3320 9.3320
angles (deg): 107.99 107.99 107.99
Positions (direct):
Tb  0.6232  0.6232  0.8377
Tb  0.3768  0.3768  0.1623
Tb  0.8898  0.1102  0.5000
Tb  0.8898  0.5000  0.1102
Tb  0.8377  0.6232  0.6232
Tb  0.6232  0.8377  0.6232
Tb  0.1623  0.3768  0.3768
Tb  0.1102  0.8898  0.5000
Tb  0.3768  0.1623  0.3768
Tb  0.5000  0.1102  0.8898
Tb  0.1102  0.5000  0.8898
Tb  0.5000  0.8898  0.1102
La  0.0000  0.0000  0.0000
Ho  0.3140  0.3140  0.7442
Ho  0.2558  0.6861  0.6861
Ho  0.6861  0.2558  0.6861
Ho  0.7442  0.3140  0.3140
Ho  0.6861  0.6861  0.2558
Ho  0.3140  0.7442  0.3140

Summary:
* VASP energy: -4.2061 eV per atom
* SG: R-3m, No. 166
* DFT formation energy: 8.04 eV/f.u.
* N(E_F): 24.189 states/eV per cell
* E above lowest polymorph: 5.17 eV per formula unit
* V: 658 Å³ per cell

# 7
The following is a DFT calculation (PBE) of a relaxed Li12CaAg4 crystal.

a b c (Å): 7.8460 7.8460 7.8460
angles (deg): 109.47 109.47 109.47
Positions (direct):
Ag  0.0000  0.0000  0.5000
Ag  0.5000  0.0000  0.0000
Ag  0.5000  0.5000  0.5000
Ag  0.0000  0.5000  0.0000
Li  0.8360  0.3488  0.1849
Li  0.1640  0.6512  0.8151
Li  0.8360  0.6512  0.4872
Li  0.3488  0.5128  0.1640
Li  0.6512  0.4872  0.8360
Li  0.5128  0.1640  0.3488
Li  0.1640  0.3488  0.5128
Li  0.3488  0.1849  0.8360
Li  0.6512  0.8151  0.1640
Li  0.8151  0.1640  0.6512
Li  0.4872  0.8360  0.6512
Li  0.1849  0.8360  0.3488
Ca  0.0000  0.0000  0.0000

Summary:
* VASP energy: -2.0974 eV per atom
* SG: Im-3, No. 204
* DFT formation energy: 0.72 eV/f.u.
* N(E_F): 2.213 states/eV per cell
* V: 372 Å³ per cell

# 8
The following is a DFT calculation (PBE) of a relaxed Zn2BiI crystal.

a b c (Å): 5.2680 5.2680 5.2680
angles (deg): 60.00 60.00 60.00
Positions (direct):
Zn  0.7500  0.7500  0.7500
Zn  0.2500  0.2500  0.2500
Bi  0.5000  0.5000  0.5000
I  0.0000  0.0000  0.0000

Summary:
* VASP energy: -1.6531 eV per atom
* SG: Fm-3m, No. 225
* N(E_F): 2.350 states/eV per cell
* E above lowest polymorph: 1.74 eV per formula unit
* uncorrected formation energy: 1.4 eV per formula unit
* V: 103 Å³ per cell

# 9
The following is a DFT calculation (PBE) of a relaxed Si2OsPt crystal.

a b c (Å): 2.8277 2.8277 8.2712
angles (deg): 90.00 90.00 117.47
Positions (direct):
Os  0.0000  0.0000  0.4728
Si  0.0000  0.0000  0.0058
Si  0.5000  0.5000  0.2498
Pt  0.5000  0.5000  0.7715

Summary:
* VASP energy: -6.8209 eV per atom
* SG: Cmm2, No. 35
* N(E_F): 2.674 states/eV per cell
* uncorrected formation energy: 0.8 eV per formula unit
* V: 59 Å³ per cell

# 10
The following is a DFT calculation (PBE) of a relaxed LiCa5Pd6 crystal.

a b c (Å): 5.0014 8.5469 8.5469
angles (deg): 121.51 107.12 107.12
Positions (direct):
Pd  0.7328  0.2341  0.2341
Pd  0.2672  0.7659  0.7659
Pd  0.7631  0.9230  0.6038
Pd  0.7631  0.6038  0.9230
Pd  0.2369  0.0770  0.3962
Pd  0.2369  0.3962  0.0770
Ca  0.0000  0.3337  0.6663
Ca  0.5000  0.8333  0.1667
Ca  0.5000  0.5000  0.5000
Ca  0.0000  0.6663  0.3337
Ca  0.5000  0.1667  0.8333
Li  0.0000  0.0000  0.0000

Summary:
* VASP energy: -4.1862 eV per atom
* SG: C2/m, No. 12
* DFT formation energy: -7.16 eV/f.u.
* N(E_F): 4.661 states/eV per cell
* V: 249 Å³ per cell

# 11
The following is a DFT calculation (PBE) of a relaxed Ce6CoOs3 crystal.

a b c (Å): 6.7292 7.3161 9.9079
angles (deg): 90.00 90.18 90.00
Each line ends with the local moment (μB).
Positions (direct):
Co  0.0000  0.0000  0.0000  -0.05
Co  0.5000  0.5000  0.5000  -0.05
Ce  0.1807  0.0730  0.7530  0.10
Ce  0.3193  0.5730  0.7470  0.10
Ce  0.3195  0.8279  0.0691  0.17
Ce  0.8195  0.6721  0.5691  0.17
Ce  0.6805  0.1721  0.9309  0.17
Ce  0.3333  0.8210  0.4275  0.18
Ce  0.6667  0.1790  0.5725  0.18
Ce  0.1805  0.3279  0.4309  0.17
Ce  0.6807  0.4270  0.2530  0.10
Ce  0.8333  0.6790  0.9275  0.18
Ce  0.1667  0.3210  0.0725  0.18
Ce  0.8193  0.9270  0.2470  0.10
Os  0.0000  0.0000  0.5000  -0.03
Os  0.5247  0.8932  0.7529  -0.03
Os  0.5000  0.5000  0.0000  -0.03
Os  0.0247  0.6068  0.2529  -0.03
Os  0.4753  0.1068  0.2471  -0.03
Os  0.9753  0.3932  0.7471  -0.03

Summary:
* VASP energy: -7.7507 eV per atom
* SG: P2_1/c, No. 14
* DFT formation energy: -1.11 eV/f.u.
* N(E_F): 37.589 states/eV per cell
* V: 488 Å³ per cell

# 12
The following is a DFT calculation (PBE) of a relaxed Cs6Hg crystal.

a b c (Å): 12.1767 12.1767 12.1767
angles (deg): 109.47 109.47 109.47
Positions (direct):
Cs  0.2500  0.5000  0.7500
Cs  0.5000  0.2500  0.7500
Cs  0.5000  0.7500  0.2500
Cs  0.2500  0.7500  0.5000
Cs  0.7500  0.2500  0.5000
Cs  0.7500  0.5000  0.2500
Hg  0.0000  0.0000  0.0000

Summary:
* VASP energy: -0.5197 eV per atom
* SG: Im-3m, No. 229
* DFT formation energy: 1.79 eV/f.u.
* N(E_F): 7.778 states/eV per cell
* E above lowest polymorph: 2.26 eV per formula unit
* V: 1390 Å³ per cell

- What is the V in the eighth record?
  103 Å³ per cell

What did the fifth record say?
The following is a DFT calculation (PBE) of a relaxed NaCr2SeCl crystal.

a b c (Å): 4.1714 6.0385 4.1714
angles (deg): 90.00 90.00 90.00
Each line ends with the local moment (μB).
Positions (direct):
Na  0.5000  0.5000  0.5000  0.00
Cl  0.0000  0.0000  0.0000  0.01
Cr  0.0000  0.0000  0.5000  -0.29
Cr  0.5000  0.0000  0.0000  -0.18
Se  0.0000  0.5000  0.0000  -0.07

Summary:
* VASP energy: -4.2586 eV per atom
* SG: P4/mmm, No. 123
* N(E_F): 9.041 states/eV per cell
* uncorrected formation energy: 4.6 eV per formula unit
* V: 105 Å³ per cell